# LaBPt2Se GGA-PBE relaxed
# - Energy relative to the elements, uncorrected: 0.66 eV per atom
# - Energy: -23.87 eV/cell
# - Size of the total moment: 0.68 μB/f.u.
# - Density of states at the Fermi level: 3.816 states/eV per cell
data_LaBPt2Se
_cell_length_a 4.683
_cell_length_b 4.683
_cell_length_c 5.665
_cell_angle_alpha 90.00
_cell_angle_beta 90.00
_cell_angle_gamma 90.00
_symmetry_space_group_name_H-M 'P 4/m m m'
_symmetry_Int_Tables_number 123
_symmetry_space_group_name_Hall '-P 4 2'
loop_
_atom_site_label
_atom_site_type_symbol
_atom_site_fract_x
_atom_site_fract_y
_atom_site_fract_z
La1 La 0.000 0.000 0.000
B1 B 0.500 0.500 0.000
Pt1 Pt 0.000 0.500 0.500
Se1 Se 0.000 0.000 0.500